Model i:
Computed, not measured: a geometry-optimized AgAuF3 structure at the GGA-PBE level of DFT.

Cell: 4.3236 4.3236 4.3236 Å, 90.00 90.00 90.00°
With the nearest neighbours (Å) after each atom.
Positions (direct):
Au: 0.5000 0.5000 0.5000  12 F 3.06
F: 0.0000 0.0000 0.5000  2 Ag 2.16
F: 0.5000 0.0000 0.0000  2 Ag 2.16
F: 0.0000 0.5000 0.0000  2 Ag 2.16
Ag: 0.0000 0.0000 0.0000  6 F 2.16

symmetry: Pm-3m
M_tot: 0.00 μB/atom
calculated volume: 80.8 Å³/f.u.

Model ii:
Computed, not measured: a geometry-optimized AgAuF3 structure at the GGA-PBE level of DFT.

Cell: 4.4130 4.4130 4.4130 Å, 90.00 90.00 90.00°
With the nearest neighbours (Å) after each atom.
Positions (direct):
F: 0.0000 0.5000 0.0000  2 Au 2.21
F: 0.0000 0.0000 0.5000  2 Au 2.21
F: 0.5000 0.0000 0.0000  2 Au 2.21
Au: 0.0000 0.0000 0.0000  6 F 2.21
Ag: 0.5000 0.5000 0.5000  12 F 3.12

symmetry: Pm-3m
M_tot: 0.00 μB/atom
calculated volume: 85.9 Å³/f.u.

Stability summary: most stable model ii, least stable model i.

Model i:
Computed, not measured: a geometry-optimized AgAuF3 structure at the GGA-PBE level of DFT.

Cell: 3.5620 6.7203 13.6290 Å, 99.47 90.00 90.00°
With the nearest neighbours (Å) after each atom.
Positions (direct):
F: 0.8383 0.7578 0.1367  1 Au 2.00
F: 0.7348 0.6693 0.5284  1 Au 2.00
F: 0.5072 0.3910 0.2004  1 Au 2.13, 1 Ag 2.37
F: 0.7652 0.1693 0.0284  1 Au 2.00
F: 0.2652 0.3307 0.4716  1 Au 2.00
F: 0.6617 0.2578 0.6367  1 Au 2.00
F: 0.0072 0.1090 0.2996  1 Au 2.13, 1 Ag 2.37
F: 0.2348 0.8307 0.9716  1 Au 2.00
F: 0.3383 0.7422 0.3633  1 Au 2.00
F: 0.9928 0.8910 0.7004  1 Au 2.13, 1 Ag 2.37
F: 0.4928 0.6090 0.7996  1 Au 2.13, 1 Ag 2.37
F: 0.1617 0.2422 0.8633  1 Au 2.00
Ag: 0.6829 0.9760 0.8553  6 F 2.37-2.57
Ag: 0.8171 0.4760 0.3553  6 F 2.37-2.57
Ag: 0.3171 0.0240 0.1447  6 F 2.37-2.57
Ag: 0.1829 0.5240 0.6447  6 F 2.37-2.57
Au: 0.1884 0.5337 0.9228  3 F 2.00-2.13
Au: 0.8116 0.4663 0.0772  3 F 2.00-2.13
Au: 0.6884 0.9663 0.5772  3 F 2.00-2.13
Au: 0.3116 0.0337 0.4228  3 F 2.00-2.13

symmetry: P2_1/c
M_tot: 0.00 μB/atom
calculated volume: 80.5 Å³/f.u.

Model ii:
Computed, not measured: a geometry-optimized AgAuF3 structure at the GGA-PBE level of DFT.

Cell: 4.3136 6.7281 6.1737 Å, 90.03 68.74 90.02°
With the nearest neighbours (Å) after each atom.
Positions (direct):
F: 0.1390 0.9572 0.4375  1 Au 2.03
F: 0.1357 0.3538 0.4430  1 Au 2.03
F: 0.8870 0.4574 0.9480  1 Au 2.03
F: 0.8895 0.8540 0.9422  1 Au 2.03
F: 0.6169 0.6559 0.4800  2 Au 2.16-2.17
F: 0.4087 0.1561 0.9055  2 Au 2.16-2.17
Ag: 0.3904 0.6552 0.9409  5 F 2.53-2.65
Ag: 0.6353 0.1550 0.4446  5 F 2.53-2.65
Au: 0.1337 0.6556 0.4481  4 F 2.03-2.17
Au: 0.8920 0.1558 0.9373  4 F 2.03-2.17

symmetry: P2_1
M_tot: 0.00 μB/atom
calculated volume: 83.5 Å³/f.u.

Stability summary: most stable model i, least stable model ii.

Model i:
Computed, not measured: a geometry-optimized Ag2AuF4 structure at the GGA-PBE level of DFT.

Cell: 6.3097 6.3097 7.9831 Å, 113.28 113.28 90.00°
With the nearest neighbours (Å) after each atom.
Positions (direct):
Ag: 0.3750 0.1250 0.7500  4 F 2.32-2.35
Ag: 0.3750 0.6250 0.7500  4 F 2.32-2.35
Ag: 0.8750 0.6250 0.2500  4 F 2.32-2.35
Ag: 0.3750 0.6250 0.2500  4 F 2.32-2.35
F: 0.9850 0.0047 0.5024  1 Au 2.14, 2 Ag 2.32-2.35
F: 0.2477 0.2350 0.0024  1 Au 2.14, 2 Ag 2.32-2.35
F: 0.9953 0.4826 0.4976  1 Au 2.14, 2 Ag 2.32-2.35
F: 0.7547 0.7674 0.0024  1 Au 2.14, 2 Ag 2.32-2.35
F: 0.5174 0.4977 0.5024  1 Au 2.14, 2 Ag 2.32-2.35
F: 0.5023 0.0150 0.4976  1 Au 2.14, 2 Ag 2.32-2.35
F: 0.2326 0.7523 0.9976  1 Au 2.14, 2 Ag 2.32-2.35
F: 0.7650 0.2453 0.9976  1 Au 2.14, 2 Ag 2.32-2.35
Au: 0.7500 0.2500 0.5000  4 F 2.14
Au: 0.0000 0.0000 0.0000  4 F 2.14

symmetry: I4_1/a
M_tot: 0.12 μB/atom
calculated volume: 131.8 Å³/f.u.

Model ii:
Computed, not measured: a geometry-optimized Ag2AuF4 structure at the GGA-PBE level of DFT.

Cell: 6.1126 6.1126 5.2976 Å, 125.23 125.23 90.00°
With the nearest neighbours (Å) after each atom.
Positions (direct):
F: 0.2535 0.2535 0.0001  1 Au 2.13
F: 0.7465 0.2534 0.9999  1 Au 2.13
F: 0.7466 0.7466 0.0001  1 Au 2.13
F: 0.2534 0.7465 0.9999  1 Au 2.13
Ag: 0.7500 0.2500 0.5000  8 F 2.65
Ag: 0.2500 0.7500 0.5000  8 F 2.65
Au: 0.5000 0.5000 0.0000  4 F 2.13

symmetry: I4/mmm
M_tot: 0.14 μB/atom
calculated volume: 114.5 Å³/f.u.

Stability summary: most stable model i, least stable model ii.

Model i:
Computed, not measured: a geometry-optimized AgAu3F structure at the GGA-PBE level of DFT.

Cell: 4.6164 4.6164 4.6164 Å, 90.00 90.00 90.00°
With the nearest neighbours (Å) after each atom.
Positions (direct):
Ag: 0.5000 0.5000 0.5000  12 Au 3.26
Au: 0.5000 0.0000 0.0000  2 F 2.31
Au: 0.0000 0.5000 0.0000  2 F 2.31
Au: 0.0000 0.0000 0.5000  2 F 2.31
F: 0.0000 0.0000 0.0000  6 Au 2.31

symmetry: Pm-3m
M_tot: 0.00 μB/atom
calculated volume: 98.4 Å³/f.u.

Model ii:
Computed, not measured: a geometry-optimized AgAu3F structure at the GGA-PBE level of DFT.

Cell: 5.1288 5.1288 5.1288 Å, 90.00 90.00 90.00°
With the nearest neighbours (Å) after each atom.
Positions (direct):
Ag: 0.0000 0.0000 0.0000  6 Au 2.56
Au: 0.0000 0.0000 0.5000  2 Ag 2.56
Au: 0.0000 0.5000 0.0000  2 Ag 2.56
Au: 0.5000 0.0000 0.0000  2 Ag 2.56
F: 0.5000 0.5000 0.5000  12 Au 3.63

symmetry: Pm-3m
M_tot: 0.00 μB/atom
calculated volume: 134.9 Å³/f.u.

Stability summary: most stable model i, least stable model ii.

Model i:
Computed, not measured: a geometry-optimized Ag2AuF structure at the GGA-PBE level of DFT.

Cell: 2.9058 2.9058 9.3004 Å, 81.01 81.01 60.00°
With the nearest neighbours (Å) after each atom.
Positions (direct):
Ag: 0.9004 0.9004 0.2987  3 F 2.49, 1 Au 2.73
Ag: 0.0996 0.0996 0.7013  3 F 2.49, 1 Au 2.73
Au: 0.0000 0.0000 0.0000  2 Ag 2.73, 6 Au 2.91
F: 0.5000 0.5000 0.5000  6 Ag 2.49

symmetry: R-3m
M_tot: 0.00 μB/atom
calculated volume: 66.9 Å³/f.u.

Model ii:
Computed, not measured: a geometry-optimized Ag2AuF structure at the GGA-PBE level of DFT.

Cell: 3.0227 3.0227 8.3668 Å, 79.59 79.59 60.00°
With the nearest neighbours (Å) after each atom.
Positions (direct):
Ag: 0.2602 0.2602 0.2193  3 F 2.51
Ag: 0.0728 0.0728 0.7815  3 F 2.49
Au: 0.4998 0.4998 0.5007  6 Ag 2.89, 6 Au 3.02
F: 0.6671 0.6671 0.9986  6 Ag 2.49-2.51

symmetry: R3m
M_tot: 0.00 μB/atom
calculated volume: 64.7 Å³/f.u.

Model iii:
Computed, not measured: a geometry-optimized Ag2AuF structure at the GGA-PBE level of DFT.

Cell: 4.5738 4.5738 4.5738 Å, 60.00 60.00 60.00°
With the nearest neighbours (Å) after each atom.
Positions (direct):
F: 0.0000 0.0000 0.0000  8 Ag 2.80
Au: 0.5000 0.5000 0.5000  8 Ag 2.80
Ag: 0.2500 0.2500 0.2500  4 F 2.80, 4 Au 2.80
Ag: 0.7500 0.7500 0.7500  4 F 2.80, 4 Au 2.80

symmetry: Fm-3m
M_tot: 0.00 μB/atom
calculated volume: 67.7 Å³/f.u.

Stability summary: most stable model ii, least stable model iii.

Model i:
Computed, not measured: a geometry-optimized Ag2AuF structure at the GGA-PBE level of DFT.

Cell: 2.9515 2.9515 7.3491 Å, 90.00 90.00 90.00°
With the nearest neighbours (Å) after each atom.
Positions (direct):
Ag: 0.0000 0.0000 0.2206  4 F 2.64, 4 Au 2.93, 4 Ag 2.95
Ag: 0.0000 0.0000 0.7794  4 F 2.64, 4 Au 2.93, 4 Ag 2.95
F: 0.5000 0.5000 0.0000  8 Ag 2.64, 4 F 2.95
Au: 0.5000 0.5000 0.5000  8 Ag 2.93, 4 Au 2.95

symmetry: P4/mmm
M_tot: 0.00 μB/atom
calculated volume: 64.0 Å³/f.u.

Model ii:
Computed, not measured: a geometry-optimized Ag2AuF structure at the GGA-PBE level of DFT.

Cell: 6.9164 6.9164 5.7177 Å, 52.78 52.78 90.00°
With the nearest neighbours (Å) after each atom.
Positions (direct):
Ag: 0.3750 0.4195 0.7500  2 F 2.36
Ag: 0.5805 0.1250 0.2500  2 F 2.36
Ag: 0.8750 0.8305 0.7500  2 F 2.36
Ag: 0.1695 0.6250 0.2500  2 F 2.36
Au: 0.7500 0.2500 0.5000  4 Ag 2.77, 2 F 2.96
Au: 0.0000 0.0000 0.0000  4 Ag 2.77, 2 F 2.96
F: 0.5000 0.5000 0.0000  4 Ag 2.36
F: 0.2500 0.7500 0.5000  4 Ag 2.36

symmetry: I-42d
M_tot: 0.00 μB/atom
calculated volume: 70.8 Å³/f.u.

Stability summary: most stable model i, least stable model ii.

Model i:
Computed, not measured: a geometry-optimized Ag2AuF6 structure at the GGA-PBE level of DFT.

Cell: 6.8870 7.4519 6.6835 Å, 90.00 122.75 90.00°
With the nearest neighbours (Å) after each atom.
Positions (direct):
Ag: 0.3253 0.0855 0.2030  5 F 2.22-2.45
Ag: 0.1747 0.5855 0.2970  5 F 2.22-2.45
Ag: 0.8253 0.4145 0.7030  5 F 2.22-2.45
Ag: 0.6747 0.9145 0.7970  5 F 2.22-2.45
F: 0.8920 0.6578 0.9308  3 Ag 2.22-2.29
F: 0.9932 0.7350 0.4822  1 Au 1.98
F: 0.0646 0.9863 0.8279  1 Au 1.99
F: 0.3920 0.8422 0.4308  3 Ag 2.22-2.29
F: 0.6080 0.1578 0.5692  3 Ag 2.22-2.29
F: 0.4354 0.4863 0.6721  1 Au 1.99
F: 0.5068 0.2350 0.0178  1 Au 1.98
F: 0.1080 0.3422 0.0692  3 Ag 2.22-2.29
F: 0.0068 0.2650 0.5178  1 Au 1.98
F: 0.4932 0.7650 0.9822  1 Au 1.98
F: 0.9354 0.0137 0.1721  1 Au 1.99
F: 0.5646 0.5137 0.3279  1 Au 1.99
Au: 0.0000 0.0000 0.5000  4 F 1.98-1.99
Au: 0.5000 0.5000 0.0000  4 F 1.98-1.99

symmetry: P2_1/c
M_tot: 0.12 μB/atom
calculated volume: 144.2 Å³/f.u.

Model ii:
Computed, not measured: a geometry-optimized Ag2AuF6 structure at the GGA-PBE level of DFT.

Cell: 4.3711 9.0849 9.0849 Å, 115.11 90.94 90.94°
With the nearest neighbours (Å) after each atom.
Positions (direct):
Ag: 0.0091 0.2679 0.4431  4 F 2.21-2.37
Ag: 0.5091 0.4431 0.2679  4 F 2.21-2.37
Ag: 0.4909 0.5569 0.7321  4 F 2.21-2.37
Ag: 0.9909 0.7321 0.5569  4 F 2.21-2.37
F: 0.4654 0.1966 0.0281  1 Au 1.97
F: 0.4722 0.3713 0.8450  1 Au 1.97
F: 0.0346 0.9719 0.8034  1 Au 1.97
F: 0.5346 0.8034 0.9719  1 Au 1.97
F: 0.9654 0.0281 0.1966  1 Au 1.97
F: 0.9722 0.8450 0.3713  1 Au 1.97
F: 0.0278 0.1550 0.6287  1 Au 1.97
F: 0.5278 0.6287 0.1550  1 Au 1.97
F: 0.9894 0.5509 0.6969  2 Ag 2.21
F: 0.0106 0.4491 0.3031  2 Ag 2.21
F: 0.4894 0.6969 0.5509  2 Ag 2.21
F: 0.5106 0.3031 0.4491  2 Ag 2.21
Au: 0.7500 0.8268 0.1732  4 F 1.97
Au: 0.2500 0.1732 0.8268  4 F 1.97

symmetry: C2/c
M_tot: 0.07 μB/atom
calculated volume: 163.3 Å³/f.u.

Stability summary: most stable model ii, least stable model i.

Model i:
Computed, not measured: a geometry-optimized AgAuNF2 structure at the GGA-PBE level of DFT.

Cell: 4.4055 4.4055 4.0333 Å, 90.00 90.00 90.00°
With the nearest neighbours (Å) after each atom.
Positions (direct):
F: 0.0000 0.5000 0.0000  2 Ag 2.20
F: 0.5000 0.0000 0.0000  2 Ag 2.20
Ag: 0.0000 0.0000 0.0000  2 N 2.02, 4 F 2.20
Au: 0.5000 0.5000 0.5000  8 F 2.99, 4 N 3.12
N: 0.0000 0.0000 0.5000  2 Ag 2.02

symmetry: P4/mmm
M_tot: 0.35 μB/atom
calculated volume: 78.3 Å³/f.u.

Model ii:
Computed, not measured: a geometry-optimized AgAuNF2 structure at the GGA-PBE level of DFT.

Cell: 4.6740 4.6740 3.7463 Å, 90.00 90.00 90.00°
With the nearest neighbours (Å) after each atom.
Positions (direct):
Ag: 0.5000 0.5000 0.5000  8 F 3.00, 4 N 3.31
F: 0.5000 0.0000 0.0000  2 Au 2.34
F: 0.0000 0.5000 0.0000  2 Au 2.34
N: 0.0000 0.0000 0.5000  2 Au 1.87
Au: 0.0000 0.0000 0.0000  2 N 1.87

symmetry: P4/mmm
M_tot: 0.00 μB/atom
calculated volume: 81.8 Å³/f.u.

Stability summary: most stable model ii, least stable model i.

Model i:
Computed, not measured: a geometry-optimized Na2AgAuF6 structure at the GGA-PBE level of DFT.

Cell: 6.2268 6.2268 6.2268 Å, 60.00 60.00 60.00°
With the nearest neighbours (Å) after each atom.
Positions (direct):
F: 0.7512 0.2488 0.2488  1 Au 2.19, 1 Ag 2.21
F: 0.7512 0.7512 0.2488  1 Au 2.19, 1 Ag 2.21
F: 0.2488 0.7512 0.7512  1 Au 2.19, 1 Ag 2.21
F: 0.2488 0.7512 0.2488  1 Au 2.19, 1 Ag 2.21
F: 0.7512 0.2488 0.7512  1 Au 2.19, 1 Ag 2.21
F: 0.2488 0.2488 0.7512  1 Au 2.19, 1 Ag 2.21
Ag: 0.5000 0.5000 0.5000  6 F 2.21
Au: 0.0000 0.0000 0.0000  6 F 2.19
Na: 0.2500 0.2500 0.2500  12 F 3.11
Na: 0.7500 0.7500 0.7500  12 F 3.11

symmetry: Fm-3m
M_tot: 0.00 μB/atom
calculated volume: 170.7 Å³/f.u.

Model ii:
Computed, not measured: a geometry-optimized Na2AgAuF6 structure at the GGA-PBE level of DFT.

Cell: 6.1724 5.8060 6.6133 Å, 60.65 57.65 58.87°
With the nearest neighbours (Å) after each atom.
Positions (direct):
Na: 0.5150 0.5212 0.4263  4 F 2.22-2.42
Na: 0.9939 0.0531 0.9223  4 F 2.22-2.36
F: 0.1063 0.4372 0.7049  1 Ag 2.15, 2 Na 2.22-2.33
F: 0.2294 0.9718 0.2726  1 Au 2.01
F: 0.3952 0.6840 0.7859  1 Au 2.03
F: 0.6621 0.1088 0.8111  1 Au 2.02
F: 0.6634 0.1773 0.2736  1 Ag 2.17, 2 Na 2.22-2.26
F: 0.9556 0.5690 0.2408  1 Au 2.02
Ag: 0.8301 0.8109 0.5408  2 F 2.15-2.17
Au: 0.3106 0.3283 0.0369  4 F 2.01-2.03

symmetry: P1
M_tot: 0.00 μB/atom
calculated volume: 163.7 Å³/f.u.

Stability summary: most stable model ii, least stable model i.

Model i:
Computed, not measured: a geometry-optimized AgAuOF2 structure at the GGA-PBE level of DFT.

Cell: 3.6233 5.6268 7.1630 Å, 90.00 90.00 108.78°
With the nearest neighbours (Å) after each atom.
Positions (direct):
Au: 0.0000 0.0000 0.5000  2 O 2.02
Au: 0.0000 0.0000 0.0000  2 O 2.02
F: 0.3625 0.7249 0.4367  2 Au 2.37, 3 Ag 2.49-2.60
F: 0.6375 0.2751 0.9367  2 Au 2.37, 3 Ag 2.49-2.60
F: 0.3625 0.7249 0.0633  2 Au 2.37, 3 Ag 2.49-2.60
F: 0.6375 0.2751 0.5633  2 Au 2.37, 3 Ag 2.49-2.60
O: 0.9118 0.8237 0.7500  2 Au 2.02
O: 0.0882 0.1763 0.2500  2 Au 2.02
Ag: 0.2605 0.5210 0.7500  2 O 2.43, 6 F 2.49-2.60
Ag: 0.7395 0.4790 0.2500  2 O 2.43, 6 F 2.49-2.60

symmetry: Cmcm
M_tot: 0.00 μB/atom
calculated volume: 69.1 Å³/f.u.

Model ii:
Computed, not measured: a geometry-optimized AgAuOF2 structure at the GGA-PBE level of DFT.

Cell: 4.5113 4.5113 3.9225 Å, 90.00 90.00 90.00°
With the nearest neighbours (Å) after each atom.
Positions (direct):
F: 0.0000 0.5000 0.0000  2 Au 2.26
F: 0.5000 0.0000 0.0000  2 Au 2.26
Ag: 0.5000 0.5000 0.5000  8 F 2.99, 4 O 3.19
Au: 0.0000 0.0000 0.0000  2 O 1.96
O: 0.0000 0.0000 0.5000  2 Au 1.96

symmetry: P4/mmm
M_tot: 0.00 μB/atom
calculated volume: 79.8 Å³/f.u.

Stability summary: most stable model i, least stable model ii.

Model i:
Computed, not measured: a geometry-optimized FeAgAu2 structure at the GGA-PBE level of DFT.

Cell: 2.8658 4.9230 4.8238 Å, 90.00 90.00 90.00°
With the nearest neighbours (Å) after each atom.
Positions (direct):
Ag: 0.0000 0.5000 0.5000  4 Au 2.81, 4 Fe 2.85, 2 Ag 2.87
Au: 0.5000 0.5000 0.0000  4 Ag 2.81, 6 Au 2.85-2.87
Au: 0.0000 0.0000 0.0000  4 Fe 2.81, 6 Au 2.85-2.87
Fe: 0.5000 0.0000 0.5000  4 Au 2.81, 4 Ag 2.85, 2 Fe 2.87

symmetry: Pmmm
M_tot: 0.75 μB/atom
calculated volume: 68.1 Å³/f.u.

Model ii:
Computed, not measured: a geometry-optimized FeAgAu2 structure at the GGA-PBE level of DFT.

Cell: 3.9093 3.9093 9.9907 Å, 78.72 78.72 90.00°
With the nearest neighbours (Å) after each atom.
Positions (direct):
Au: 0.6210 0.1250 0.2500  4 Au 2.74-2.79, 2 Fe 2.76, 2 Ag 2.78
Au: 0.3750 0.3790 0.7500  4 Au 2.74-2.79, 2 Fe 2.76, 2 Ag 2.78
Au: 0.1290 0.6250 0.2500  4 Au 2.74-2.79, 2 Fe 2.76, 2 Ag 2.78
Au: 0.8750 0.8710 0.7500  4 Au 2.74-2.79, 2 Fe 2.76, 2 Ag 2.78
Fe: 0.2500 0.7500 0.5000  4 Au 2.76, 4 Ag 2.76
Fe: 0.5000 0.5000 0.0000  4 Au 2.76, 4 Ag 2.76
Ag: 0.0000 0.0000 0.0000  4 Fe 2.76, 4 Au 2.78
Ag: 0.7500 0.2500 0.5000  4 Fe 2.76, 4 Au 2.78

symmetry: I-42d
M_tot: 0.82 μB/atom
calculated volume: 73.4 Å³/f.u.

Stability summary: most stable model i, least stable model ii.